Y2FeP: PBEsol geometry, meta-GGA SCAN.

Calculated values
energy = -20.90 eV per atom
total moment = 0.63 μB per cell

Structure (extended XYZ):
```
4
Lattice="0.000 3.245 3.245 3.245 0.000 3.245 3.245 3.245 0.000" Properties=species:S:1:pos:R:3 pbc="T T T"
Y 0.000 0.000 0.000
Y 1.623 1.623 1.623
Fe 4.868 4.868 4.868
P 3.245 3.245 3.245
```

=====

Zn2FeP: PBEsol geometry, meta-GGA SCAN.

Calculated values
energy = -13.85 eV per atom
total moment = 1.37 μB per cell

Structure (extended XYZ):
```
4
Lattice="1.378 0.796 7.878 -1.378 0.796 7.878 0.000 -1.591 7.878" Properties=species:S:1:pos:R:3 pbc="T T T"
Zn 0.000 0.000 0.000
Zn 0.000 0.000 5.693
Fe 0.000 0.000 11.584
P 0.000 0.000 17.991
```

=====

Zn2FeP: PBEsol geometry, meta-GGA SCAN.

Calculated values
energy = -13.73 eV per atom
total moment = 2.39 μB per cell

Structure (extended XYZ):
```
4
Lattice="3.528 0.000 0.000 0.000 3.583 0.000 0.000 0.000 3.967" Properties=species:S:1:pos:R:3 pbc="T T T"
Zn 0.000 0.000 0.000
Zn 1.764 1.792 0.000
Fe 0.000 1.792 1.984
P 1.764 0.000 1.984
```

=====

Question: What is the formula in the first record?
Answer: Y2FeP